Entry 1:
La2Tb3Y7 | GGA-PBE | relaxed

## Properties
The total energy comes out at -0.2082 hartree per atom.

Structure (CIF):
```
data_La2Tb3Y7
_chemical_formula_sum 'La2 Tb3 Y7'
_cell_length_a 6.408
_cell_length_b 3.542
_cell_length_c 17.656
_cell_angle_alpha 90.00
_cell_angle_beta 96.09
_cell_angle_gamma 90.00
_symmetry_space_group_name_H-M 'P 1'
_symmetry_Int_Tables_number 1
_symmetry_space_group_name_Hall 'P 1'
loop_
_atom_site_label
_atom_site_type_symbol
_atom_site_fract_x
_atom_site_fract_y
_atom_site_fract_z
La1 La 0.057 0.000 0.173
La2 La 0.943 0.000 0.827
Tb1 Tb 0.455 0.500 0.842
Tb2 Tb 0.500 0.000 0.500
Tb3 Tb 0.545 0.500 0.158
Y1 Y 0.000 0.500 0.500
Y2 Y 0.229 0.000 0.666
Y3 Y 0.257 0.000 0.999
Y4 Y 0.276 0.500 0.338
Y5 Y 0.724 0.500 0.662
Y6 Y 0.743 0.000 0.001
Y7 Y 0.771 0.000 0.334
```

Entry 2:
La4TbY | GGA-PBE | relaxed

## Properties
Its excess energy over the best structure of this formula in the dataset is 39 meV per atom. The total energy comes out at -0.1866 hartree per atom.

Structure (CIF):
```
data_La4TbY
_chemical_formula_sum 'La4 Tb1 Y1'
_cell_length_a 3.564
_cell_length_b 5.860
_cell_length_c 10.074
_cell_angle_alpha 90.00
_cell_angle_beta 90.00
_cell_angle_gamma 90.00
_symmetry_space_group_name_H-M 'P 1'
_symmetry_Int_Tables_number 1
_symmetry_space_group_name_Hall 'P 1'
loop_
_atom_site_label
_atom_site_type_symbol
_atom_site_fract_x
_atom_site_fract_y
_atom_site_fract_z
La1 La 0.000 0.000 0.171
La2 La 0.000 0.000 0.829
La3 La 0.000 0.500 0.328
La4 La 0.000 0.500 0.672
Tb1 Tb 0.500 0.500 0.000
Y1 Y 0.500 0.000 0.500
```

Entry 3:
La4Tb4Y3 | GGA-PBE | relaxed

## Properties
Its excess energy over the best structure of this formula in the dataset is 0 meV per atom. The total energy comes out at -0.1905 hartree per atom.

Structure (CIF):
```
data_La4Tb4Y3
_chemical_formula_sum 'La4 Tb4 Y3'
_cell_length_a 3.564
_cell_length_b 5.758
_cell_length_c 18.357
_cell_angle_alpha 99.00
_cell_angle_beta 95.56
_cell_angle_gamma 90.00
_symmetry_space_group_name_H-M 'P 1'
_symmetry_Int_Tables_number 1
_symmetry_space_group_name_Hall 'P 1'
loop_
_atom_site_label
_atom_site_type_symbol
_atom_site_fract_x
_atom_site_fract_y
_atom_site_fract_z
La1 La 0.092 0.091 0.184
La2 La 0.231 0.731 0.461
La3 La 0.769 0.269 0.539
La4 La 0.908 0.909 0.816
Tb1 Tb 0.045 0.544 0.090
Tb2 Tb 0.182 0.182 0.364
Tb3 Tb 0.818 0.818 0.636
Tb4 Tb 0.955 0.456 0.910
Y1 Y 0.363 0.364 0.727
Y2 Y 0.500 0.000 0.000
Y3 Y 0.637 0.636 0.273
```

Entry 4:
La2Tb2Y5 | GGA-PBE | relaxed

## Properties
Its excess energy over the best structure of this formula in the dataset is 8 meV per atom. The total energy comes out at -0.2018 hartree per atom.

Structure (CIF):
```
data_La2Tb2Y5
_chemical_formula_sum 'La2 Tb2 Y5'
_cell_length_a 11.119
_cell_length_b 11.119
_cell_length_c 8.368
_cell_angle_alpha 100.66
_cell_angle_beta 100.66
_cell_angle_gamma 18.18
_symmetry_space_group_name_H-M 'P 1'
_symmetry_Int_Tables_number 1
_symmetry_space_group_name_Hall 'P 1'
loop_
_atom_site_label
_atom_site_type_symbol
_atom_site_fract_x
_atom_site_fract_y
_atom_site_fract_z
La1 La 0.180 0.180 0.144
La2 La 0.820 0.820 0.856
Tb1 Tb 0.454 0.454 0.642
Tb2 Tb 0.546 0.546 0.358
Y1 Y 0.000 0.000 0.000
Y2 Y 0.096 0.096 0.734
Y3 Y 0.309 0.309 0.466
Y4 Y 0.691 0.691 0.534
Y5 Y 0.904 0.904 0.266
```

Entry 5:
La3Tb3Y2 | GGA-PBE | relaxed

## Properties
Its excess energy over the best structure of this formula in the dataset is 7 meV per atom. The total energy comes out at -0.1900 hartree per atom.

Structure (CIF):
```
data_La3Tb3Y2
_chemical_formula_sum 'La6 Tb6 Y4'
_cell_length_a 5.095
_cell_length_b 5.162
_cell_length_c 20.670
_cell_angle_alpha 90.00
_cell_angle_beta 90.00
_cell_angle_gamma 90.00
_symmetry_space_group_name_H-M 'P 1'
_symmetry_Int_Tables_number 1
_symmetry_space_group_name_Hall 'P 1'
loop_
_atom_site_label
_atom_site_type_symbol
_atom_site_fract_x
_atom_site_fract_y
_atom_site_fract_z
La1 La 0.000 0.000 0.000
La2 La 0.000 0.500 0.124
La3 La 0.000 0.500 0.876
La4 La 0.500 0.000 0.376
La5 La 0.500 0.000 0.624
La6 La 0.500 0.500 0.500
Tb1 Tb 0.000 0.000 0.500
Tb2 Tb 0.000 0.500 0.373
Tb3 Tb 0.000 0.500 0.627
Tb4 Tb 0.500 0.000 0.127
Tb5 Tb 0.500 0.000 0.873
Tb6 Tb 0.500 0.500 0.000
Y1 Y 0.000 0.000 0.249
Y2 Y 0.000 0.000 0.751
Y3 Y 0.500 0.500 0.251
Y4 Y 0.500 0.500 0.749
```

Entry 6:
La8TbY6 | GGA-PBE | relaxed

## Properties
The total energy comes out at -0.1972 hartree per atom.

Structure (CIF):
```
data_La8TbY6
_chemical_formula_sum 'La8 Tb1 Y6'
_cell_length_a 9.476
_cell_length_b 9.476
_cell_length_c 6.747
_cell_angle_alpha 90.00
_cell_angle_beta 90.00
_cell_angle_gamma 120.00
_symmetry_space_group_name_H-M 'P 1'
_symmetry_Int_Tables_number 1
_symmetry_space_group_name_Hall 'P 1'
loop_
_atom_site_label
_atom_site_type_symbol
_atom_site_fract_x
_atom_site_fract_y
_atom_site_fract_z
La1 La 0.045 0.752 0.165
La2 La 0.248 0.293 0.165
La3 La 0.293 0.045 0.835
La4 La 0.333 0.667 0.118
La5 La 0.667 0.333 0.882
La6 La 0.707 0.955 0.165
La7 La 0.752 0.707 0.835
La8 La 0.955 0.248 0.835
Tb1 Tb 0.000 0.000 0.500
Y1 Y 0.098 0.662 0.650
Y2 Y 0.338 0.435 0.650
Y3 Y 0.435 0.098 0.350
Y4 Y 0.565 0.902 0.650
Y5 Y 0.662 0.565 0.350
Y6 Y 0.902 0.338 0.350
```

Entry 7:
La5TbY12 | GGA-PBE | relaxed

## Properties
The total energy comes out at -0.2172 hartree per atom.

Structure (CIF):
```
data_La5TbY12
_chemical_formula_sum 'La5 Tb1 Y12'
_cell_length_a 10.865
_cell_length_b 10.865
_cell_length_c 6.276
_cell_angle_alpha 106.63
_cell_angle_beta 106.63
_cell_angle_gamma 59.87
_symmetry_space_group_name_H-M 'P 1'
_symmetry_Int_Tables_number 1
_symmetry_space_group_name_Hall 'P 1'
loop_
_atom_site_label
_atom_site_type_symbol
_atom_site_fract_x
_atom_site_fract_y
_atom_site_fract_z
La1 La 0.000 0.000 0.000
La2 La 0.166 0.166 0.501
La3 La 0.335 0.335 0.003
La4 La 0.665 0.665 0.997
La5 La 0.834 0.834 0.499
Tb1 Tb 0.500 0.500 0.500
Y1 Y 0.002 0.664 0.999
Y2 Y 0.167 0.502 0.503
Y3 Y 0.170 0.830 0.500
Y4 Y 0.333 0.667 0.000
Y5 Y 0.336 0.998 0.001
Y6 Y 0.498 0.833 0.497
Y7 Y 0.502 0.167 0.503
Y8 Y 0.664 0.002 0.999
Y9 Y 0.667 0.333 0.000
Y10 Y 0.830 0.170 0.500
Y11 Y 0.833 0.498 0.497
Y12 Y 0.998 0.336 0.001
```

Entry 8:
La4TbY5 | GGA-PBE | relaxed

## Properties
Its excess energy over the best structure of this formula in the dataset is 0 meV per atom. The total energy comes out at -0.2017 hartree per atom.

Structure (CIF):
```
data_La4TbY5
_chemical_formula_sum 'La8 Tb2 Y10'
_cell_length_a 10.837
_cell_length_b 10.837
_cell_length_c 5.830
_cell_angle_alpha 90.00
_cell_angle_beta 90.00
_cell_angle_gamma 90.00
_symmetry_space_group_name_H-M 'P 1'
_symmetry_Int_Tables_number 1
_symmetry_space_group_name_Hall 'P 1'
loop_
_atom_site_label
_atom_site_type_symbol
_atom_site_fract_x
_atom_site_fract_y
_atom_site_fract_z
La1 La 0.045 0.750 0.124
La2 La 0.250 0.545 0.876
La3 La 0.250 0.955 0.876
La4 La 0.455 0.750 0.124
La5 La 0.545 0.250 0.876
La6 La 0.750 0.045 0.124
La7 La 0.750 0.455 0.124
La8 La 0.955 0.250 0.876
Tb1 Tb 0.250 0.250 0.887
Tb2 Tb 0.750 0.750 0.113
Y1 Y 0.090 0.090 0.347
Y2 Y 0.090 0.410 0.347
Y3 Y 0.250 0.750 0.500
Y4 Y 0.410 0.090 0.347
Y5 Y 0.410 0.410 0.347
Y6 Y 0.590 0.590 0.653
Y7 Y 0.590 0.910 0.653
Y8 Y 0.750 0.250 0.500
Y9 Y 0.910 0.590 0.653
Y10 Y 0.910 0.910 0.653
```